# Pm2Sm5Ho4

A geometry-optimized Pm2Sm5Ho4 structure (PBE-GGA, Alexandria).

POSCAR file:
```
Pm2Sm5Ho4
1.0
-1.9213 -1.9197 -2.2447
6.5618 -6.3368 -0.1970
-7.3707 -1.3824 10.2564
Pm Sm Ho
2 5 4
Direct
0.2684 0.2684 0.5368 Pm
0.7316 0.7316 0.4632 Pm
0.8562 0.0545 0.7125 Sm
0.8562 0.6580 0.7125 Sm
0.1438 0.3420 0.2875 Sm
0.1438 0.9455 0.2875 Sm
0.5000 0.0000 0.0000 Sm
0.0000 0.3124 0.0000 Ho
0.5966 0.5966 0.1932 Ho
0.0000 0.6876 0.0000 Ho
0.4034 0.4034 0.8068 Ho
```

Results
Offset from the most stable computed form = 1.197 eV per formula unit
Magnetization = 0.00 μB per formula unit

=====

# PmSm14Ho

A geometry-optimized PmSm14Ho structure (PBE-GGA, Alexandria).

POSCAR file:
```
PmSm14Ho
1.0
-0.1599 3.3433 6.4600
-5.8552 0.1464 -4.3163
-3.9301 -9.8439 4.9973
Pm Sm Ho
1 14 1
Direct
0.7085 0.2915 0.5000 Pm
0.0420 0.9580 0.0000 Sm
0.5419 0.4581 0.0000 Sm
0.2071 0.2913 0.5000 Sm
0.0423 0.4587 0.0000 Sm
0.7087 0.7929 0.5000 Sm
0.5413 0.9577 0.0000 Sm
0.3746 0.1244 0.7490 Sm
0.3746 0.1244 0.2510 Sm
0.8756 0.6254 0.7490 Sm
0.8756 0.6254 0.2510 Sm
0.3748 0.6252 0.7486 Sm
0.3748 0.6252 0.2514 Sm
0.8750 0.1250 0.7509 Sm
0.8750 0.1250 0.2491 Sm
0.2081 0.7919 0.5000 Ho
```

Results
Magnetization = 0.00 μB per formula unit

=====

# Pm2Sm2Ho7

A geometry-optimized Pm2Sm2Ho7 structure (PBE-GGA, Alexandria).

POSCAR file:
```
Pm2Sm2Ho7
1.0
-4.5290 -1.8540 -3.5875
3.3141 -4.9779 -5.4187
-3.5499 -6.1413 3.8480
Pm Sm Ho
2 2 7
Direct
0.5000 0.2122 0.7878 Pm
0.5000 0.7878 0.2122 Pm
0.8091 0.4049 0.4049 Sm
0.1909 0.5951 0.5951 Sm
0.1753 0.0640 0.5896 Ho
0.8247 0.4104 0.9360 Ho
0.8247 0.9360 0.4104 Ho
0.1753 0.5896 0.0640 Ho
0.0000 0.0000 0.0000 Ho
0.5796 0.7670 0.7670 Ho
0.4204 0.2330 0.2330 Ho
```

Results
Magnetization = 0.00 μB per formula unit

=====

# Pm3SmHo

A geometry-optimized Pm3SmHo structure (PBE-GGA, Alexandria).

POSCAR file:
```
Pm3SmHo
1.0
6.1697 -1.0557 0.0069
-1.0341 6.1828 -0.0006
3.0820 -0.5261 9.0593
Pm Sm Ho
6 2 2
Direct
0.5635 0.6556 0.5917 Pm
0.7628 0.6557 0.1926 Pm
0.0638 0.1559 0.5910 Pm
0.9618 0.6557 0.7944 Pm
0.4623 0.1554 0.7937 Pm
0.2628 0.1554 0.1928 Pm
0.8626 0.1558 0.9933 Sm
0.1630 0.6556 0.3921 Sm
0.3626 0.6555 0.9931 Ho
0.6630 0.1555 0.3923 Ho
```

Results
Offset from the most stable computed form = 0.000 eV per formula unit
Magnetization = 0.00 μB per formula unit

=====

# Pm8Sm5Ho

A geometry-optimized Pm8Sm5Ho structure (PBE-GGA, Alexandria).

POSCAR file:
```
Pm8Sm5Ho
1.0
2.5874 0.4791 -8.1766
2.8621 -7.2058 3.6966
-8.5870 0.1791 -0.1096
Pm Sm Ho
8 5 1
Direct
0.1692 0.7345 0.0731 Pm
0.9269 0.0961 0.6614 Pm
0.7309 0.2568 0.3351 Pm
0.6649 0.3958 0.9218 Pm
0.5259 0.6042 0.2691 Pm
0.5653 0.9039 0.8308 Pm
0.3386 0.2655 0.4347 Pm
0.0782 0.7432 0.4741 Pm
0.0318 0.3158 0.1332 Sm
0.8668 0.8985 0.1826 Sm
0.8174 0.6842 0.7159 Sm
0.5000 0.0000 0.5000 Sm
0.2841 0.1015 0.9682 Sm
0.2500 0.5000 0.7500 Ho
```

Results
Magnetization = 0.00 μB per formula unit

=====

# PmSmHo

A geometry-optimized PmSmHo structure (PBE-GGA, Alexandria).

POSCAR file:
```
PmSmHo
1.0
6.9911 -0.1415 0.0000
-3.5103 6.0476 0.0000
0.0000 0.0000 9.7041
Sm Ho Pm
4 4 4
Direct
0.3450 0.6551 0.3241 Sm
0.6514 0.3486 0.1791 Sm
0.6514 0.3486 0.8209 Sm
0.3450 0.6551 0.6759 Sm
0.0056 0.9944 0.2535 Ho
0.0056 0.9944 0.7465 Ho
0.3668 0.1602 0.5000 Ho
0.8398 0.6332 0.5000 Ho
0.8224 0.1776 0.5000 Pm
0.6373 0.8491 0.0000 Pm
0.1509 0.3627 0.0000 Pm
0.1787 0.8213 0.0000 Pm
```

Results
Offset from the most stable computed form = 0.686 eV per formula unit
Magnetization = 0.00 μB per formula unit

=====

Formation energy? In order: 0.189; 0.000; 0.153; 0.014; 0.244; 0.245 eV per atom.
Volume? In order: 377; 537; 362; 336; 487; 405 Å³ per cell.
DOS at the Fermi energy? In order: 1.460; 1.011; 1.587; 1.396; 1.461; 1.504 states/eV per atom.